1.
{"formula": "SrCe3Y2Te6", "functional": "PBE", "state": "optimized geometry", "cell": [[4.4491, 0.0000, 0.0000], [0.0000, 9.0535, 0.2505], [-2.2245, -2.6852, 9.4439]], "species": ["Sr", "Ce", "Ce", "Ce", "Y", "Y", "Te", "Te", "Te", "Te", "Te", "Te"], "frac_coords": [[0.5000, 0.0000, 0.0000], [0.5000, 0.5000, 0.0000], [0.8360, 0.1711, 0.6721], [0.1640, 0.8289, 0.3279], [0.8301, 0.6609, 0.6603], [0.1699, 0.3391, 0.3397], [0.3305, 0.9074, 0.6610], [0.6678, 0.5773, 0.3357], [0.6695, 0.0926, 0.3390], [0.0053, 0.2565, 0.0107], [0.9947, 0.7435, 0.9893], [0.3322, 0.4227, 0.6643]], "formation_energy_uncorrected_mev_per_atom": -1389}

2.
{"formula": "SrCeTh2", "functional": "PBE", "state": "optimized geometry", "cell": [[3.5649, 0.0000, 0.0000], [1.7825, 3.0873, 0.0000], [1.7825, 1.0291, 12.8017]], "species": ["Sr", "Ce", "Th", "Th"], "frac_coords": [[0.0000, 0.0000, 0.0000], [0.5000, 0.5000, 0.5000], [0.0931, 0.0931, 0.7207], [0.9069, 0.9069, 0.2793]], "dft_energy_ev_per_atom": -5.292}

3.
{"formula": "SrCeTl", "functional": "PBE", "state": "optimized geometry", "cell": [[-2.4500, 1.6544, 2.5199], [-2.6449, 0.3781, -2.8197], [-0.1077, -7.4313, 1.7803]], "species": ["Sr", "Tl", "Ce"], "frac_coords": [[0.3019, 0.3019, 0.6038], [0.9571, 0.9571, 0.9142], [0.5910, 0.5910, 0.1819]], "dft_energy_ev_per_atom": -3.394}

The total moment results, record by record, are as follows: 3.90; 0.00; 1.96 μB/cell.